The following is a GGA-PBE calculation of ZrInW2 after structural relaxation, from Alexandria.

- ΔH_f (0 K) (eV/atom) = 0.3238
- crystal system = monoclinic
- density of states at the Fermi level (states/eV/atom) = 0.72

Lattice parameters (Å, degrees): 5.4192 5.6316 2.8488 78.93 82.73 116.69
Fractional coordinates of all 4 atoms:
Zr: 0.0000 0.5000 0.5000
W: 0.5000 0.0000 0.5000
In: 0.5000 0.5000 0.0000
W: 0.0000 0.0000 0.0000

=====

The following is a GGA-PBE calculation of Cd2Ag2P after structural relaxation, from Alexandria.

- ΔH_f (0 K) (eV/atom) = 0.2793
- crystal system = tetragonal
- density of states at the Fermi level (states/eV/atom) = 0.34

Lattice parameters (Å, degrees): 8.1625 8.1625 3.0117 90.00 90.00 90.00
Fractional coordinates of all 10 atoms:
Cd: 0.8229 0.3229 0.5000
Ag: 0.8783 0.6217 0.0000
P: 0.5000 0.5000 0.0000
Ag: 0.3783 0.8783 0.0000
Ag: 0.1217 0.3783 0.0000
Cd: 0.3229 0.1771 0.5000
P: 0.0000 0.0000 0.0000
Ag: 0.6217 0.1217 0.0000
Cd: 0.1771 0.6771 0.5000
Cd: 0.6771 0.8229 0.5000

=====

The following is a GGA-PBE calculation of LiTcIr2 after structural relaxation, from Alexandria.

- ΔH_f (0 K) (eV/atom) = 0.1047
- crystal system = tetragonal
- density of states at the Fermi level (states/eV/atom) = 1.22

Lattice parameters (Å, degrees): 3.6123 3.9194 3.9194 90.00 90.00 90.00
Fractional coordinates of all 4 atoms:
Li: 0.5000 0.5000 0.0000
Ir: 0.0000 0.5000 0.5000
Tc: 0.5000 0.0000 0.5000
Ir: 0.0000 0.0000 0.0000

=====

The following is a GGA-PBE calculation of Nd4ZnTe3 after structural relaxation, from Alexandria.

- crystal system = orthorhombic
- formation energy (no corrections) (eV per formula unit) = -9.19
- density of states at the Fermi level (states/eV/atom) = 0.49

Lattice parameters (Å, degrees): 4.3552 7.7808 7.7808 108.25 90.00 90.00
Fractional coordinates of all 8 atoms:
Zn: 0.5000 0.0000 0.0000
Nd: 0.0000 0.2369 0.2369
Nd: 0.5000 0.7579 0.2421
Te: 0.0000 0.0000 0.5000
Te: 0.5000 0.5000 0.5000
Nd: 0.5000 0.2421 0.7579
Nd: 0.0000 0.7631 0.7631
Te: 0.0000 0.5000 0.0000

=====

The following is a GGA-PBE calculation of Pm8SmSc4 after structural relaxation, from Alexandria.

- ΔH_f (0 K) (eV/atom) = 0.2338
- crystal system = trigonal
- density of states at the Fermi level (states/eV/atom) = 1.09

Lattice parameters (Å, degrees): 7.0766 7.0766 10.2978 90.00 110.10 120.00
Fractional coordinates of all 13 atoms:
Sc: 0.0000 0.0000 0.0000
Pm: 0.5737 0.7868 0.3605
Pm: 0.0330 0.7862 0.2797
Sc: 0.0000 0.5000 0.0000
Sm: 0.0000 0.5000 0.5000
Pm: 0.0330 0.2468 0.2797
Pm: 0.4263 0.2132 0.6395
Sc: 0.5000 0.0000 0.0000
Pm: 0.9670 0.2138 0.7203
Pm: 0.9670 0.7532 0.7203
Pm: 0.4935 0.2468 0.2797
Sc: 0.5000 0.5000 0.0000
Pm: 0.5065 0.7532 0.7203

=====

The following is a GGA-PBE calculation of TiReMoRu after structural relaxation, from Alexandria.

- ΔH_f (0 K) (eV/atom) = -0.2474
- crystal system = cubic
- density of states at the Fermi level (states/eV/atom) = 0.92

Lattice parameters (Å, degrees): 4.4029 4.4029 4.4029 60.00 60.00 60.00
Fractional coordinates of all 4 atoms:
Ru: 0.7500 0.7500 0.7500
Mo: 0.0000 0.0000 0.0000
Ti: 0.5000 0.5000 0.5000
Re: 0.2500 0.2500 0.2500

=====

The following is a GGA-PBE calculation of LiIn2Pt after structural relaxation, from Alexandria.

- ΔH_f (0 K) (eV/atom) = -0.5017
- crystal system = cubic
- density of states at the Fermi level (states/eV/atom) = 0.28

Lattice parameters (Å, degrees): 4.6706 4.6706 4.6706 60.00 60.00 60.00
Fractional coordinates of all 4 atoms:
Li: 0.0000 0.0000 0.0000
In: 0.7500 0.7500 0.7500
Pt: 0.5000 0.5000 0.5000
In: 0.2500 0.2500 0.2500

=====

The following is a GGA-PBE calculation of Ta8Ti2Ir after structural relaxation, from Alexandria.

- ΔH_f (0 K) (eV/atom) = -0.1357
- crystal system = monoclinic
- density of states at the Fermi level (states/eV/atom) = 1.24

Lattice parameters (Å, degrees): 4.6286 5.4205 8.0201 89.94 106.77 90.00
Fractional coordinates of all 11 atoms:
Ta: 0.2272 0.6406 0.4544
Ta: 0.7728 0.3594 0.5456
Ta: 0.5900 0.4475 0.1800
Ta: 0.3204 0.0900 0.6407
Ti: 0.8622 0.8140 0.7244
Ta: 0.6796 0.9100 0.3593
Ti: 0.1378 0.1860 0.2756
Ir: 0.5000 0.0000 0.0000
Ta: 0.0447 0.7285 0.0893
Ta: 0.9553 0.2715 0.9107
Ta: 0.4100 0.5525 0.8200

=====

How do the records compare in volume? In the order shown, they have 18.488, 20.066, 13.873, 31.301, 31.535, 15.088, 18.011, 17.515 A^3/atom.